(1)
The following is a PBE-GGA calculation of crystalline Ca2AlSnO5 at its relaxed geometry, from Alexandria via LeMat-Bulk.

POSCAR file:
```
Ca2AlSnO5
1.0
5.6973 0.0000 0.0000
-0.1945 6.0853 0.0000
-2.4476 -2.9033 7.3779
Ca Al Sn O
4 2 2 10
Cartesian
0.0000 0.0000 0.0000 Ca
-0.1736 0.7155 3.5214 Ca
2.8602 3.5697 0.0516 Ca
2.9325 3.1130 3.6223 Ca
0.3278 -2.0990 5.5159 Al
3.1241 -0.0817 5.4116 Al
-0.0167 3.4369 1.7689 Sn
2.8079 0.3284 1.7895 Sn
-0.7867 -0.6217 5.6011 O
-0.2807 3.0214 4.0700 O
1.0169 -0.5671 2.1424 O
-0.2083 3.0479 7.0052 O
1.8792 2.1829 1.7917 O
2.1050 -1.6075 5.4344 O
3.6054 4.6002 1.9757 O
3.1944 0.7473 3.8523 O
2.4438 1.1421 6.4644 O
4.5520 1.3534 1.4206 O
```

For the density of states at the Fermi level, the calculation gives 0.0 states/eV per cell. Its space-group type is No. 1. As for the crystal system: triclinic. The value obtained for the uncorrected formation energy is -22.497 eV/f.u.


(2)
The following is a PBE-GGA calculation of crystalline Sr2CaAlO5 at its relaxed geometry, from Alexandria via LeMat-Bulk.

POSCAR file:
```
Sr2CaAlO5
1.0
1.7469 -6.7916 0.0000
1.7469 6.7916 0.0000
0.0000 0.0000 10.7243
Sr Ca Al O
4 2 2 10
Cartesian
1.7469 5.3340 5.3622 Sr
1.7469 4.8204 1.3734 Sr
1.7469 -4.8204 6.7356 Sr
1.7469 -5.3340 0.0000 Sr
1.7469 4.0435 8.9740 Ca
1.7469 -4.0435 3.6118 Ca
1.7469 0.1880 2.9278 Al
1.7469 -0.1880 8.2899 Al
1.7469 6.3735 8.9385 O
1.7469 2.8740 5.1789 O
1.7469 2.0812 2.1533 O
1.7469 1.6892 8.6950 O
1.7469 0.0446 6.4756 O
1.7469 -0.0446 1.1135 O
1.7469 -1.6892 3.3328 O
1.7469 -2.0812 7.5154 O
1.7469 -2.8740 10.5411 O
1.7469 -6.3735 3.5763 O
```

For the density of states at the Fermi level, the calculation gives 0.3 states/eV per cell. Its space-group type is No. 36. As for the crystal system: orthorhombic. The value obtained for the uncorrected formation energy is -23.701 eV/f.u.


(3)
The following is a PBE-GGA calculation of crystalline Sr2CaAlO at its relaxed geometry, from Alexandria via LeMat-Bulk.

POSCAR file:
```
Sr2CaAlO
1.0
5.2851 0.0000 0.0000
0.0000 5.2851 0.0000
0.0000 0.0000 4.7056
Sr Ca Al O
2 1 1 1
Cartesian
0.0000 2.6425 0.0000 Sr
2.6425 0.0000 0.0000 Sr
0.0000 0.0000 2.3528 Ca
2.6425 2.6425 2.3528 Al
0.0000 0.0000 0.0000 O
```

For the density of states at the Fermi level, the calculation gives 3.3 states/eV per cell. Its space-group type is No. 123. As for the crystal system: tetragonal. The value obtained for the uncorrected formation energy is -5.938 eV/f.u.


(4)
The following is a PBE-GGA calculation of crystalline SrCaAlO4 at its relaxed geometry, from Alexandria via LeMat-Bulk.

POSCAR file:
```
SrCaAlO4
1.0
2.6764 -6.1179 0.0000
2.6764 6.1179 0.0000
0.0000 0.0000 5.3527
Sr Ca Al O
2 2 2 8
Cartesian
2.6764 4.8377 4.0145 Sr
2.6764 -4.8377 1.3382 Sr
2.6764 1.3312 4.0145 Ca
2.6764 -1.3312 1.3382 Ca
2.6764 3.0302 1.3382 Al
2.6764 -3.0302 4.0145 Al
1.3382 3.0590 0.0000 O
1.3382 3.0590 2.6763 O
2.6764 4.9544 1.3382 O
2.6764 1.0591 1.3382 O
1.3382 -3.0590 0.0000 O
1.3382 -3.0590 2.6763 O
2.6764 -1.0591 4.0145 O
2.6764 -4.9544 4.0145 O
```

For the density of states at the Fermi level, the calculation gives 7.2 states/eV per cell. Its space-group type is No. 63. As for the crystal system: orthorhombic. The value obtained for the uncorrected formation energy is -18.756 eV/f.u.


(5)
The following is a PBE-GGA calculation of crystalline CaTaAlO2 at its relaxed geometry, from Alexandria via LeMat-Bulk.

POSCAR file:
```
CaTaAlO2
1.0
4.0159 0.0000 0.0000
0.0000 4.0159 0.0000
0.0000 0.0000 6.7430
Ca Ta Al O
1 1 1 2
Cartesian
0.0000 0.0000 0.0000 Ca
0.0000 0.0000 3.3715 Ta
2.0079 2.0079 0.0000 Al
0.0000 2.0079 3.3715 O
2.0079 0.0000 3.3715 O
```

For the density of states at the Fermi level, the calculation gives 2.1 states/eV per cell. Its space-group type is No. 123. As for the crystal system: tetragonal. The value obtained for the uncorrected formation energy is -4.475 eV/f.u.


(6)
The following is a PBE-GGA calculation of crystalline Ca2TaAlO6 at its relaxed geometry, from Alexandria via LeMat-Bulk.

POSCAR file:
```
Ca2TaAlO6
1.0
5.4465 0.0000 0.0000
0.0000 5.4465 0.0000
0.0000 0.0000 3.9677
Ca Ta Al O
2 1 1 6
Cartesian
0.0000 2.7232 0.0000 Ca
2.7232 0.0000 0.0000 Ca
0.0000 0.0000 2.0974 Ta
2.7232 2.7232 2.1190 Al
0.0000 0.0000 0.1505 O
1.3835 1.3835 2.1845 O
1.3835 4.0630 2.1845 O
2.7232 2.7232 0.1805 O
4.0630 1.3835 2.1845 O
4.0630 4.0630 2.1845 O
```

For the density of states at the Fermi level, the calculation gives 0.0 states/eV per cell. Its space-group type is No. 99. As for the crystal system: tetragonal. The value obtained for the uncorrected formation energy is -29.756 eV/f.u.